# RbGeB PBE optimized geometry
# DFT total energy in eV per atom: -3.67
# Calculated formation energy in eV per formula unit: 1.25
# Magnetization in μB/cell: 0.0
data_RbGeB
_chemical_formula_sum 'Rb4 Ge4 B4'
_space_group_name_H-M_alt 'C 1 m 1'
_space_group_IT_number 8
_space_group_name_Hall 'C -2y'
_cell_length_a 14.412
_cell_length_b 3.582
_cell_length_c 7.231
_cell_angle_alpha 90.00
_cell_angle_beta 117.47
_cell_angle_gamma 90.00
loop_
_atom_site_label
_atom_site_type_symbol
_atom_site_fract_x
_atom_site_fract_y
_atom_site_fract_z
_atom_site_occupancy
Rb1 Rb 0.000 0.000 0.000 1
Rb2 Rb 0.170 0.000 0.635 1
Ge1 Ge 0.256 0.500 0.137 1
Ge2 Ge 0.380 0.000 0.493 1
B1 B 0.344 0.000 0.162 1
B2 B 0.465 0.000 0.328 1



# RbGeB PBE optimized geometry
# DFT total energy in eV per atom: -3.84
# Calculated formation energy in eV per formula unit: 0.76
# Magnetization in μB/cell: 0.0
data_RbGeB
_chemical_formula_sum 'Rb4 Ge4 B4'
_space_group_name_H-M_alt 'C 1 m 1'
_space_group_IT_number 8
_space_group_name_Hall 'C -2y'
_cell_length_a 9.134
_cell_length_b 10.727
_cell_length_c 3.336
_cell_angle_alpha 90.00
_cell_angle_beta 110.41
_cell_angle_gamma 90.00
loop_
_atom_site_label
_atom_site_type_symbol
_atom_site_fract_x
_atom_site_fract_y
_atom_site_fract_z
_atom_site_occupancy
Rb1 Rb 0.000 0.204 0.000 1
Ge1 Ge 0.264 0.000 0.765 1
Ge2 Ge 0.471 0.000 0.461 1
B1 B 0.214 0.500 0.935 1
B2 B 0.215 0.500 0.445 1



# RbGeB PBE optimized geometry
# DFT total energy in eV per atom: -3.84
# Calculated formation energy in eV per formula unit: 0.75
# Magnetization in μB/cell: 0.0
data_RbGeB
_chemical_formula_sum 'Rb2 Ge2 B2'
_space_group_name_H-M_alt 'P -1'
_space_group_IT_number 2
_space_group_name_Hall '-P 1'
_cell_length_a 3.606
_cell_length_b 6.560
_cell_length_c 6.908
_cell_angle_alpha 75.84
_cell_angle_beta 78.11
_cell_angle_gamma 86.84
loop_
_atom_site_label
_atom_site_type_symbol
_atom_site_fract_x
_atom_site_fract_y
_atom_site_fract_z
_atom_site_occupancy
Rb1 Rb 0.106 0.307 0.301 1
Ge1 Ge 0.422 0.191 0.790 1
B1 B 0.137 0.918 0.060 1



# RbGeB PBE optimized geometry
# DFT total energy in eV per atom: -3.90
# Calculated formation energy in eV per formula unit: 0.57
# Magnetization in μB/cell: 0.0
data_RbGeB
_chemical_formula_sum 'Rb4 Ge4 B4'
_space_group_name_H-M_alt 'A m m 2'
_space_group_IT_number 38
_space_group_name_Hall 'A 2 -2'
_cell_length_a 3.257
_cell_length_b 12.912
_cell_length_c 7.032
_cell_angle_alpha 90.00
_cell_angle_beta 90.00
_cell_angle_gamma 90.00
loop_
_atom_site_label
_atom_site_type_symbol
_atom_site_fract_x
_atom_site_fract_y
_atom_site_fract_z
_atom_site_occupancy
Rb1 Rb 0.000 0.158 0.000 1
Ge1 Ge 0.500 0.096 0.567 1
B1 B 0.000 0.000 0.322 1
B2 B 0.500 0.000 0.304 1